(1)
This record from the Alexandria database describes a relaxed structure of MgAs. The functional is PBE.

```
MgAs
1.0
-1.361 0.888 3.559
-3.851 -0.036 0.687
-1.559 -2.794 2.251
As Mg
1 1
direct
0.000 0.000 0.000
0.500 0.500 0.500
```

Results
offset from the most stable computed form	0.137	eV per atom
symmetry	Fm-3m
DFT formation energy	-0.280	eV per atom

***

(2)
This record from the Alexandria database describes a relaxed structure of ZnAs4Rh. The functional is PBE.

```
ZnAs4Rh
1.0
0.000 3.844 3.844
3.844 0.000 3.844
3.844 3.844 0.000
Zn As Rh
1 4 1
direct
0.000 0.000 0.000
0.627 0.627 0.119
0.627 0.119 0.627
0.627 0.627 0.627
0.119 0.627 0.627
0.250 0.250 0.250
```

Results
symmetry	F-43m
DFT formation energy	0.575	eV per atom

***

(3)
This record from the Alexandria database describes a relaxed structure of LiThI2. The functional is PBE.

```
LiThI2
1.0
-0.644 2.137 -3.210
-2.599 -1.204 -2.662
-8.478 5.444 2.944
I Th Li
2 1 1
direct
0.091 0.091 0.727
0.909 0.909 0.273
0.500 0.500 0.500
0.000 0.000 0.000
```

Results
E_form (uncorrected)	-2.8	eV/f.u.
symmetry	R-3m

***

(4)
This record from the Alexandria database describes a relaxed structure of Ca2YTl3. The functional is PBE.

```
Ca2YTl3
1.0
3.863 0.000 0.000
0.000 3.863 0.000
0.000 0.000 11.532
Ca Y Tl
2 1 3
direct
0.500 0.500 0.833
0.500 0.500 0.167
0.500 0.500 0.500
0.000 0.000 0.000
0.000 0.000 0.662
0.000 0.000 0.338
```

Results
symmetry	P4/mmm
DFT formation energy	-0.416	eV per atom

***

(5)
This record from the Alexandria database describes a relaxed structure of CdAg6Pt3. The functional is PBE.

```
CdAg6Pt3
1.0
-2.827 -1.707 7.250
4.148 -4.739 4.879
2.087 0.627 5.338
Cd Ag Pt
1 6 3
direct
0.882 0.882 0.354
0.934 0.561 0.245
0.260 0.934 0.245
0.561 0.260 0.245
0.056 0.413 0.784
0.747 0.056 0.784
0.413 0.747 0.784
0.384 0.384 0.847
0.629 0.629 0.113
0.133 0.133 0.600
```

Results
symmetry	R3
DFT formation energy	0.150	eV per atom

***

(6)
This record from the Alexandria database describes a relaxed structure of Sm3Al2In. The functional is PBE.

```
Sm3Al2In
1.0
5.275 0.000 0.000
-2.637 4.568 0.000
0.000 0.000 12.960
Sm Al In
6 4 2
direct
0.333 0.667 0.416
0.667 0.333 0.079
0.000 0.000 0.756
0.000 0.000 0.244
0.333 0.667 0.921
0.667 0.333 0.584
0.000 0.000 0.500
0.333 0.667 0.167
0.667 0.333 0.833
0.000 0.000 0.000
0.333 0.667 0.668
0.667 0.333 0.332
```

Results
offset from the most stable computed form	0.010	eV per atom
symmetry	P-3m1
DFT formation energy	-0.398	eV per atom

***

(7)
This record from the Alexandria database describes a relaxed structure of AlOsRu2. The functional is PBE.

```
AlOsRu2
1.0
6.180 0.003 0.009
-2.474 3.897 -0.006
1.232 0.783 2.343
Ru Os Al
2 1 1
direct
0.000 0.000 0.000
0.500 0.000 0.500
0.500 0.500 0.000
0.000 0.500 0.500
```

Results
symmetry	Cmmm
DFT formation energy	-0.074	eV per atom

***

(8)
This record from the Alexandria database describes a relaxed structure of LiSnB. The functional is PBE.

```
LiSnB
1.0
-1.650 -2.812 -2.210
-3.621 -1.299 0.846
-3.013 0.879 -2.379
B Sn Li
1 1 1
direct
0.000 0.000 0.000
0.750 0.750 0.750
0.250 0.250 0.250
```

Results
offset from the most stable computed form	0.180	eV per atom
symmetry	F-43m
DFT formation energy	0.090	eV per atom

***

(9)
This record from the Alexandria database describes a relaxed structure of K14Pa2O9. The functional is PBE.

```
K14Pa2O9
1.0
-7.895 -0.079 -5.483
12.283 -6.779 1.573
-0.105 -8.760 6.874
K Pa O
14 2 9
direct
0.131 0.707 0.864
0.199 0.786 0.467
0.228 0.541 0.737
0.000 0.994 0.239
0.999 0.006 0.761
0.381 0.291 0.927
0.758 0.053 0.934
0.287 0.358 0.416
0.713 0.642 0.584
0.242 0.947 0.066
0.619 0.709 0.073
0.772 0.459 0.263
0.801 0.214 0.533
0.869 0.293 0.136
0.350 0.686 0.275
0.650 0.314 0.725
0.177 0.723 0.269
0.067 0.441 0.323
0.393 0.760 0.071
0.000 0.000 0.000
0.430 0.322 0.672
0.570 0.678 0.328
0.607 0.240 0.929
0.933 0.559 0.677
0.823 0.277 0.731
```

Results
E_form (uncorrected)	-39.5	eV/f.u.
symmetry	P-1

***

(10)
This record from the Alexandria database describes a relaxed structure of Na2HoZr2S6. The functional is PBE.

```
Na2HoZr2S6
1.0
6.538 -0.041 0.071
-3.267 5.663 0.071
-1.155 -1.985 6.801
Na Ho Zr S
2 1 2 6
direct
0.836 0.164 0.000
0.164 0.836 0.000
0.000 0.000 0.500
0.334 0.666 0.500
0.666 0.334 0.500
0.727 0.727 0.720
0.071 0.417 0.720
0.273 0.273 0.280
0.417 0.071 0.720
0.929 0.583 0.280
0.583 0.929 0.280
```

Results
E_form (uncorrected)	-17.9	eV/f.u.
symmetry	C2/m

***

(11)
This record from the Alexandria database describes a relaxed structure of Y4IrSe. The functional is PBE.

```
Y4IrSe
1.0
0.000 4.257 4.257
4.257 0.000 4.257
4.257 4.257 0.000
Y Ir Se
4 1 1
direct
0.871 0.376 0.376
0.376 0.376 0.871
0.376 0.871 0.376
0.376 0.376 0.376
0.750 0.750 0.750
0.000 0.000 0.000
```

Results
E_form (uncorrected)	2.9	eV/f.u.
symmetry	F-43m

***

(12)
This record from the Alexandria database describes a relaxed structure of Si2SnHg2. The functional is PBE.

```
Si2SnHg2
1.0
-2.376 -6.385 -2.379
2.072 -3.077 6.189
-3.913 0.817 1.716
Si Hg Sn
4 4 2
direct
0.383 0.883 0.000
0.883 0.617 0.000
0.617 0.117 0.000
0.117 0.383 0.000
0.184 0.684 0.500
0.684 0.816 0.500
0.816 0.316 0.500
0.316 0.184 0.500
0.000 0.000 0.000
0.500 0.500 0.000
```

Results
offset from the most stable computed form	0.106	eV per atom
E_form (uncorrected)	2.0	eV/f.u.
symmetry	P4/mbm

***

Which formula does entry 3 have? LiThI2

***

What is the formula in the seventh record? AlOsRu2